VASP calculation (PBE-GGA) on a relaxed structure of K2Sr2Tl.

Output
Calculated formation energy (eV per atom): 0.16
Relative energy among the computed polymorphs (meV per atom): 125
Energy (eV per atom): -1.421
Total magnetic moment (μB/f.u.): 0.00
Volume (Å³/f.u.): 257

abc: 8.831 8.831 6.601
angles: 90.00 90.00 90.00
Fractional positions:
Sr: 0.184 0.684 0.500
Sr: 0.684 0.816 0.500
Sr: 0.816 0.316 0.500
Sr: 0.316 0.184 0.500
Tl: 0.000 0.000 0.000
Tl: 0.500 0.500 0.000
K: 0.361 0.861 0.000
K: 0.861 0.639 0.000
K: 0.639 0.139 0.000
K: 0.139 0.361 0.000

---

VASP calculation (PBE-GGA) on a relaxed structure of KSr5Tl4.

Output
Calculated formation energy (eV per atom): -0.33
Energy (eV per atom): -2.228
Total magnetic moment (μB/f.u.): 0.00
Volume (Å³/f.u.): 397

abc: 4.134 4.134 23.219
angles: 90.00 90.00 90.00
Fractional positions:
K: 0.000 0.000 0.000
Sr: 0.500 0.500 0.154
Sr: 0.500 0.500 0.324
Sr: 0.500 0.500 0.500
Sr: 0.500 0.500 0.676
Sr: 0.500 0.500 0.846
Tl: 0.000 0.000 0.234
Tl: 0.000 0.000 0.412
Tl: 0.000 0.000 0.588
Tl: 0.000 0.000 0.766

---

VASP calculation (PBE-GGA) on a relaxed structure of K2SrTl.

Output
Calculated formation energy (eV per atom): 0.08
Relative energy among the computed polymorphs (meV per atom): 186
Energy (eV per atom): -1.481
Total magnetic moment (μB/f.u.): 0.00
Volume (Å³/f.u.): 206

abc: 13.487 13.487 13.487
angles: 18.06 18.06 18.06
Fractional positions:
K: 0.014 0.014 0.014
K: 0.486 0.486 0.486
Sr: 0.250 0.250 0.250
Tl: 0.750 0.750 0.750

---

VASP calculation (PBE-GGA) on a relaxed structure of KSr2YTl.

Output
Calculated formation energy (eV per atom): 0.42
Energy (eV per atom): -2.241
Total magnetic moment (μB/f.u.): 0.94
Volume (Å³/f.u.): 260

abc: 6.398 6.359 6.398
angles: 90.00 90.00 90.00
Each line ends with the local moment (μB).
Fractional positions:
Y: 0.500 0.500 0.500  0.32
Sr: 0.000 0.000 0.500  0.01
Sr: 0.500 0.000 0.000  0.01
Tl: 0.000 0.000 0.000  -0.03
K: 0.000 0.500 0.000  0.00

---

VASP calculation (PBE-GGA) on a relaxed structure of KSr2Tm.

Output
Calculated formation energy (eV per atom): 0.41
Energy (eV per atom): -1.823
Total magnetic moment (μB/f.u.): 0.40
Volume (Å³/f.u.): 191

abc: 3.875 3.875 14.877
angles: 82.52 82.52 60.00
Each line ends with the local moment (μB).
Fractional positions:
Sr: 0.080 0.080 0.761  0.01
Sr: 0.920 0.920 0.239  0.01
K: 0.500 0.500 0.500  0.00
Tm: 0.000 0.000 0.000  0.19

---

VASP calculation (PBE-GGA) on a relaxed structure of K2Sr2V.

Output
Calculated formation energy (eV per atom): 0.81
Relative energy among the computed polymorphs (meV per atom): 0
Energy (eV per atom): -2.125
Total magnetic moment (μB/f.u.): 4.59
Volume (Å³/f.u.): 246

abc: 8.754 8.754 6.413
angles: 90.00 90.00 90.00
Each line ends with the local moment (μB).
Fractional positions:
Sr: 0.188 0.688 0.500  0.01
Sr: 0.688 0.812 0.500  0.01
Sr: 0.812 0.312 0.500  0.01
Sr: 0.312 0.188 0.500  0.01
K: 0.362 0.862 0.000  0.03
K: 0.862 0.638 0.000  0.03
K: 0.638 0.138 0.000  0.03
K: 0.138 0.362 0.000  0.03
V: 0.000 0.000 0.000  3.18
V: 0.500 0.500 0.000  3.18

---

VASP calculation (PBE-GGA) on a relaxed structure of KSrV2.

Output
Calculated formation energy (eV per atom): 1.59
Relative energy among the computed polymorphs (meV per atom): 217
Energy (eV per atom): -3.661
Total magnetic moment (μB/f.u.): 0.00
Volume (Å³/f.u.): 120

abc: 4.515 4.515 12.239
angles: 79.37 79.37 90.00
Fractional positions:
Sr: 0.000 0.000 0.000
Sr: 0.750 0.250 0.500
K: 0.500 0.500 0.000
K: 0.250 0.750 0.500
V: 0.857 0.125 0.250
V: 0.893 0.625 0.250
V: 0.375 0.143 0.750
V: 0.875 0.107 0.750

---

VASP calculation (PBE-GGA) on a relaxed structure of KSrV2.

Output
Calculated formation energy (eV per atom): 1.38
Relative energy among the computed polymorphs (meV per atom): 0
Energy (eV per atom): -3.878
Total magnetic moment (μB/f.u.): 9.08
Volume (Å³/f.u.): 133

abc: 5.725 5.725 5.725
angles: 60.00 60.00 60.00
Each line ends with the local moment (μB).
Fractional positions:
Sr: 0.500 0.500 0.500  0.18
K: 0.000 0.000 0.000  0.06
V: 0.250 0.250 0.250  3.11
V: 0.750 0.750 0.750  3.11

---

VASP calculation (PBE-GGA) on a relaxed structure of K2Sr2V.

Output
Calculated formation energy (eV per atom): 1.00
Relative energy among the computed polymorphs (meV per atom): 187
Energy (eV per atom): -1.938
Total magnetic moment (μB/f.u.): 4.39
Volume (Å³/f.u.): 283

abc: 5.260 5.260 10.874
angles: 76.00 76.00 90.00
Each line ends with the local moment (μB).
Fractional positions:
Sr: 0.750 0.250 0.500  -0.01
Sr: 0.250 0.750 0.500  -0.01
K: 0.415 0.415 0.170  0.01
K: 0.585 0.585 0.830  0.01
V: 0.000 0.000 0.000  3.21

---

VASP calculation (PBE-GGA) on a relaxed structure of KSrV3.

Output
Calculated formation energy (eV per atom): 2.14
Relative energy among the computed polymorphs (meV per atom): 0
Energy (eV per atom): -3.882
Total magnetic moment (μB/f.u.): 12.77
Volume (Å³/f.u.): 166

abc: 5.492 5.492 5.492
angles: 90.00 90.00 90.00
Each line ends with the local moment (μB).
Fractional positions:
Sr: 0.500 0.500 0.500  0.07
K: 0.000 0.000 0.000  0.24
V: 0.000 0.500 0.000  3.12
V: 0.000 0.000 0.500  3.12
V: 0.500 0.000 0.000  3.12

---

VASP calculation (PBE-GGA) on a relaxed structure of K3SrV.

Output
Calculated formation energy (eV per atom): 1.33
Relative energy among the computed polymorphs (meV per atom): 473
Energy (eV per atom): -1.485
Total magnetic moment (μB/f.u.): 4.26
Volume (Å³/f.u.): 433

abc: 7.567 7.567 7.567
angles: 90.00 90.00 90.00
Each line ends with the local moment (μB).
Fractional positions:
Sr: 0.000 0.000 0.000  0.00
K: 0.000 0.500 0.000  0.00
K: 0.000 0.000 0.500  0.00
K: 0.500 0.000 0.000  0.00
V: 0.500 0.500 0.500  3.27

---

VASP calculation (PBE-GGA) on a relaxed structure of K3SrV.

Output
Calculated formation energy (eV per atom): 0.86
Relative energy among the computed polymorphs (meV per atom): 0
Energy (eV per atom): -1.958
Total magnetic moment (μB/f.u.): 5.19
Volume (Å³/f.u.): 300

abc: 6.696 6.696 6.696
angles: 90.00 90.00 90.00
Each line ends with the local moment (μB).
Fractional positions:
Sr: 0.500 0.500 0.500  0.01
K: 0.000 0.500 0.000  0.03
K: 0.000 0.000 0.500  0.03
K: 0.500 0.000 0.000  0.03
V: 0.000 0.000 0.000  3.31